No. 1
Na2NpZnO4 | PBE | relaxed

Energy relative to the elements, uncorrected, eV per atom: -2.0085

a b c (Å): 5.5155 3.3904 5.8798
angles (deg): 90.00 107.77 90.00
With the nearest neighbours (Å) after each atom.
Element x y z (fractional)
Na: 0.0000 0.0000 0.0000  6 O 2.41-2.52
Na: 0.5000 0.5000 0.0000  6 O 2.45-2.50
Np: 0.0000 0.5000 0.5000  6 O 2.17-2.29
Zn: 0.5000 0.0000 0.5000  6 O 2.21-2.27
O: 0.2387 0.0000 0.7188  1 Zn 2.21, 2 Np 2.29, 1 Na 2.41
O: 0.2617 0.5000 0.2895  1 Np 2.17, 2 Zn 2.27
O: 0.7383 0.5000 0.7105  1 Np 2.17, 2 Zn 2.27
O: 0.7613 0.0000 0.2812  1 Zn 2.21, 2 Np 2.29, 1 Na 2.41

No. 2
NaNpZn2O6 | PBE | relaxed

Energy relative to the elements, uncorrected, eV per atom: -1.9358

a b c (Å): 7.3634 7.3634 6.2566
angles (deg): 106.75 106.75 81.07
With the nearest neighbours (Å) after each atom.
Element x y z (fractional)
Na: 0.0942 0.9058 0.7500  4 O 2.31-2.41
Na: 0.9058 0.0942 0.2500  4 O 2.31-2.41
Np: 0.2660 0.7340 0.2500  6 O 1.94-2.13
Np: 0.7340 0.2660 0.7500  6 O 1.94-2.13
Zn: 0.2312 0.3630 0.8669  4 O 1.92-2.05
Zn: 0.3630 0.2312 0.3669  4 O 1.92-2.05
Zn: 0.6370 0.7688 0.6331  4 O 1.92-2.05
Zn: 0.7688 0.6370 0.1331  4 O 1.92-2.05
O: 0.0074 0.2266 0.7115  1 Zn 1.92, 1 Np 2.06
O: 0.1880 0.6525 0.9159  1 Np 1.94, 1 Zn 2.05
O: 0.2266 0.0074 0.2115  1 Zn 1.92, 1 Np 2.06
O: 0.2846 0.4352 0.2150  2 Zn 1.93-2.02, 1 Np 2.13
O: 0.3475 0.8120 0.5841  1 Np 1.94, 1 Zn 2.05
O: 0.4352 0.2846 0.7150  2 Zn 1.93-2.02, 1 Np 2.13
O: 0.5648 0.7154 0.2850  2 Zn 1.93-2.02, 1 Np 2.13
O: 0.6525 0.1880 0.4159  1 Np 1.94, 1 Zn 2.05
O: 0.7154 0.5648 0.7850  2 Zn 1.93-2.02, 1 Np 2.13
O: 0.7734 0.9926 0.7885  1 Zn 1.92, 1 Np 2.06
O: 0.8120 0.3475 0.0841  1 Np 1.94, 1 Zn 2.05
O: 0.9926 0.7734 0.2885  1 Zn 1.92, 1 Np 2.06

No. 3
NaZr2NpO8 | PBE | relaxed

Energy relative to the elements, uncorrected, eV per atom: -2.7840

a b c (Å): 5.0076 5.0076 6.6415
angles (deg): 90.00 90.00 90.71
With the nearest neighbours (Å) after each atom.
Element x y z (fractional)
Na: 0.0000 0.0000 0.0000  6 O 2.28-2.36
Zr: 0.5000 0.5000 0.2363  6 O 2.03-2.27
Zr: 0.5000 0.5000 0.7637  6 O 2.03-2.27
Np: 0.0000 0.0000 0.5000  6 O 1.99-2.12
O: 0.1983 0.1983 0.2868  1 Np 1.99, 1 Zr 2.15
O: 0.1983 0.1983 0.7132  1 Np 1.99, 1 Zr 2.15
O: 0.2980 0.7020 0.5000  1 Np 2.12, 2 Zr 2.27
O: 0.3193 0.6807 0.0000  2 Zr 2.03
O: 0.6807 0.3193 0.0000  2 Zr 2.03
O: 0.7020 0.2980 0.5000  1 Np 2.12, 2 Zr 2.27
O: 0.8017 0.8017 0.2868  1 Np 1.99, 1 Zr 2.15
O: 0.8017 0.8017 0.7132  1 Np 1.99, 1 Zr 2.15

No. 4
Na3Np3OsS8 | PBE | relaxed

Energy relative to the elements, uncorrected, eV per atom: -1.1099

a b c (Å): 8.2072 8.2072 8.2072
angles (deg): 54.73 54.73 54.73
With the nearest neighbours (Å) after each atom.
Element x y z (fractional)
Na: 0.0000 0.5000 0.5000  6 S 2.86-2.89
Na: 0.5000 0.0000 0.5000  6 S 2.86-2.89
Na: 0.5000 0.5000 0.0000  6 S 2.86-2.89
Np: 0.0000 0.0000 0.5000  6 S 2.71-2.72
Np: 0.0000 0.5000 0.0000  6 S 2.71-2.72
Np: 0.5000 0.0000 0.0000  6 S 2.71-2.72
Os: 0.5000 0.5000 0.5000  6 S 2.48
S: 0.2444 0.2444 0.2444  3 Np 2.72, 3 Na 2.86
S: 0.2655 0.7236 0.7236  1 Os 2.48, 2 Np 2.71
S: 0.2764 0.2764 0.7345  1 Os 2.48, 2 Np 2.71
S: 0.2764 0.7345 0.2764  1 Os 2.48, 2 Np 2.71
S: 0.7236 0.2655 0.7236  1 Os 2.48, 2 Np 2.71
S: 0.7236 0.7236 0.2655  1 Os 2.48, 2 Np 2.71
S: 0.7345 0.2764 0.2764  1 Os 2.48, 2 Np 2.71
S: 0.7556 0.7556 0.7556  3 Np 2.72, 3 Na 2.86

No. 5
NaNpP2 | PBE | relaxed

Relative energy among the computed polymorphs, eV/atom: 0.035
ΔE_f, eV per formula unit: -1.7

a b c (Å): 4.0347 4.0347 20.4103
angles (deg): 90.00 90.00 120.00
With the nearest neighbours (Å) after each atom.
Element x y z (fractional)
Na: 0.0000 0.0000 0.0000  6 P 3.01-3.18
Na: 0.3333 0.6667 0.6667  6 P 3.01-3.18
Na: 0.6667 0.3333 0.3333  6 P 3.01-3.18
Np: 0.0000 0.0000 0.8266  6 P 2.69-2.71
Np: 0.3333 0.6667 0.4933  6 P 2.69-2.71
Np: 0.6667 0.3333 0.1600  6 P 2.69-2.71
P: 0.0000 0.0000 0.2274  3 Np 2.71
P: 0.0000 0.0000 0.4269  3 Np 2.69, 3 Na 3.01
P: 0.3333 0.6667 0.0936  3 Np 2.69, 3 Na 3.01
P: 0.3333 0.6667 0.8941  3 Np 2.71
P: 0.6667 0.3333 0.5607  3 Np 2.71
P: 0.6667 0.3333 0.7602  3 Np 2.69, 3 Na 3.01

No. 6
NaNpP2 | PBE | relaxed

Relative energy among the computed polymorphs, eV/atom: 0.000
ΔE_f, eV per formula unit: -1.9

a b c (Å): 4.0838 4.0838 19.5097
angles (deg): 90.00 90.00 120.00
With the nearest neighbours (Å) after each atom.
Element x y z (fractional)
Na: 0.0000 0.0000 0.0000  6 P 3.05
Na: 0.3333 0.6667 0.6667  6 P 3.05
Na: 0.6667 0.3333 0.3333  6 P 3.05
Np: 0.0000 0.0000 0.5000  6 P 2.70
Np: 0.3333 0.6667 0.1667  6 P 2.70
Np: 0.6667 0.3333 0.8333  6 P 2.70
P: 0.0000 0.0000 0.2340  3 Np 2.70
P: 0.0000 0.0000 0.7660  3 Np 2.70
P: 0.3333 0.6667 0.4327  3 Np 2.70
P: 0.3333 0.6667 0.9006  3 Np 2.70
P: 0.6667 0.3333 0.0994  3 Np 2.70
P: 0.6667 0.3333 0.5673  3 Np 2.70

No. 7
Na2NpP2Pd | PBE | relaxed

ΔE_f, eV per formula unit: -3.1

a b c (Å): 4.2728 8.2162 6.7526
angles (deg): 90.00 90.00 90.00
With the nearest neighbours (Å) after each atom.
Element x y z (fractional)
Na: 0.0000 0.0860 0.0000  3 P 2.91-3.04, 1 Pd 3.09, 4 Na 3.11
Na: 0.0000 0.9140 0.5000  3 P 2.91-3.04, 1 Pd 3.09, 4 Na 3.11
Na: 0.5000 0.1485 0.3266  4 P 2.79-2.99, 4 Na 3.11
Na: 0.5000 0.8515 0.8266  4 P 2.79-2.99, 4 Na 3.11
Np: 0.5000 0.4604 0.9699  5 P 2.70-2.90
Np: 0.5000 0.5396 0.4699  5 P 2.70-2.90
P: 0.0000 0.3945 0.2483  2 Pd 2.63-2.66, 4 Np 2.87-2.90
P: 0.0000 0.6055 0.7483  2 Pd 2.63-2.66, 4 Np 2.87-2.90
P: 0.5000 0.1927 0.7367  2 Pd 2.44, 1 Np 2.70
P: 0.5000 0.8073 0.2367  2 Pd 2.44, 1 Np 2.70
Pd: 0.0000 0.3021 0.6252  4 P 2.44-2.66
Pd: 0.0000 0.6979 0.1252  4 P 2.44-2.66

No. 8
NaNpP2Se8 | PBE | relaxed

Energy relative to the elements, uncorrected, eV per atom: -0.3166

a b c (Å): 10.0853 10.0853 10.0853
angles (deg): 37.15 37.15 37.15
With the nearest neighbours (Å) after each atom.
Element x y z (fractional)
Na: 0.0000 0.0000 0.0000  12 Se 3.64-3.71
Np: 0.5000 0.5000 0.5000  6 Se 2.81
P: 0.2509 0.2509 0.2509  4 Se 2.15-2.27
P: 0.7491 0.7491 0.7491  4 Se 2.15-2.27
Se: 0.0950 0.4253 0.8036  1 P 2.27
Se: 0.1964 0.9050 0.5747  1 P 2.27
Se: 0.3273 0.3273 0.3273  1 P 2.15
Se: 0.4253 0.8036 0.0950  1 P 2.27
Se: 0.5747 0.1964 0.9050  1 P 2.27
Se: 0.6727 0.6727 0.6727  1 P 2.15
Se: 0.8036 0.0950 0.4253  1 P 2.27
Se: 0.9050 0.5747 0.1964  1 P 2.27

What did the seventh record say?
Na2NpP2Pd | PBE | relaxed

ΔE_f, eV per formula unit: -3.1

a b c (Å): 4.2728 8.2162 6.7526
angles (deg): 90.00 90.00 90.00
With the nearest neighbours (Å) after each atom.
Element x y z (fractional)
Na: 0.0000 0.0860 0.0000  3 P 2.91-3.04, 1 Pd 3.09, 4 Na 3.11
Na: 0.0000 0.9140 0.5000  3 P 2.91-3.04, 1 Pd 3.09, 4 Na 3.11
Na: 0.5000 0.1485 0.3266  4 P 2.79-2.99, 4 Na 3.11
Na: 0.5000 0.8515 0.8266  4 P 2.79-2.99, 4 Na 3.11
Np: 0.5000 0.4604 0.9699  5 P 2.70-2.90
Np: 0.5000 0.5396 0.4699  5 P 2.70-2.90
P: 0.0000 0.3945 0.2483  2 Pd 2.63-2.66, 4 Np 2.87-2.90
P: 0.0000 0.6055 0.7483  2 Pd 2.63-2.66, 4 Np 2.87-2.90
P: 0.5000 0.1927 0.7367  2 Pd 2.44, 1 Np 2.70
P: 0.5000 0.8073 0.2367  2 Pd 2.44, 1 Np 2.70
Pd: 0.0000 0.3021 0.6252  4 P 2.44-2.66
Pd: 0.0000 0.6979 0.1252  4 P 2.44-2.66